# NaCaAs2F

Crystalline NaCaAs2F at its relaxed geometry (GGA-PBEsol, Alexandria).

The space group is P4/mmm (No. 123) and the conventional cell measures 4.707, 4.707 and 5.981 Å, with angles of 90.00, 90.00 and 90.00 degrees. The inequivalent atoms are Na at (0.000, 0.000, 0.000), Ca at (0.000, 0.000, 0.500), As at (0.000, 0.500, 0.000) and F at (0.500, 0.500, 0.500).

The value obtained for the density is 2.91 Mg/m³. Its electronic total energy is -3.0383 eV/atom. As for the density of states at the Fermi level: 2.70 states/eV/cell. The magnetic moment comes out at 0.000 μB/cell.